[1]
# Ta2H4O7

Ta2H4O7 after structural relaxation (GGA-PBEsol, Alexandria).

Unit cell a=7.396 b=7.396 c=7.341 alpha=118.94 beta=118.94 gamma=89.59
Sites, in units of the cell vectors:
Ta  0.001  0.999  0.500
Ta  0.013  0.498  0.493
Ta  0.498  0.013  0.993
Ta  0.999  0.001  0.000
H  0.340  0.631  0.270
H  0.442  0.588  0.768
H  0.565  0.759  0.528
H  0.581  0.843  0.272
H  0.588  0.442  0.268
H  0.631  0.340  0.770
H  0.759  0.565  0.028
H  0.843  0.581  0.772
O  0.026  0.291  0.587
O  0.036  0.921  0.229
O  0.048  0.300  0.236
O  0.291  0.026  0.087
O  0.300  0.048  0.736
O  0.326  0.666  0.740
O  0.496  0.664  0.343
O  0.663  0.920  0.240
O  0.664  0.496  0.843
O  0.666  0.326  0.240
O  0.681  0.933  0.872
O  0.920  0.663  0.740
O  0.921  0.036  0.729
O  0.933  0.681  0.372

## Properties
SG = No. 9
VASP energy = -7.765 eV/atom
Fermi-level density of states = 0.0 states/eV/cell



[2]
# TaHO3

TaHO3 after structural relaxation (GGA-PBEsol, Alexandria).

Unit cell a=7.442 b=7.442 c=7.442 alpha=117.90 beta=117.90 gamma=93.68
Sites, in units of the cell vectors:
Ta  0.000  0.000  0.000
Ta  0.000  0.000  0.500
Ta  0.000  0.500  0.000
Ta  0.500  0.000  0.500
H  0.176  0.426  0.750
H  0.426  0.176  0.250
H  0.574  0.824  0.750
H  0.824  0.574  0.250
O  0.051  0.301  0.101
O  0.051  0.949  0.750
O  0.080  0.330  0.750
O  0.301  0.051  0.601
O  0.301  0.699  0.250
O  0.330  0.080  0.250
O  0.670  0.920  0.750
O  0.699  0.301  0.750
O  0.699  0.949  0.399
O  0.920  0.670  0.250
O  0.949  0.051  0.250
O  0.949  0.699  0.899

## Properties
SG = No. 141
VASP energy = -8.544 eV/atom
Fermi-level density of states = 0.0 states/eV/cell



[3]
# Ti3H2O7

Ti3H2O7 after structural relaxation (GGA-PBEsol, Alexandria).

Unit cell a=8.162 b=8.162 c=9.132 alpha=101.47 beta=101.47 gamma=26.57
Sites, in units of the cell vectors:
Ti  0.000  0.000  0.000
Ti  0.539  0.539  0.570
Ti  0.595  0.595  0.272
Ti  0.651  0.651  0.956
Ti  0.891  0.891  0.608
Ti  0.937  0.937  0.301
H  0.720  0.720  0.580
H  0.754  0.754  0.262
H  0.770  0.770  0.769
H  0.818  0.818  0.995
O  0.007  0.007  0.532
O  0.064  0.064  0.245
O  0.122  0.122  0.970
O  0.418  0.418  0.602
O  0.474  0.474  0.329
O  0.533  0.533  0.042
O  0.598  0.598  0.754
O  0.636  0.636  0.473
O  0.695  0.695  0.192
O  0.759  0.759  0.922
O  0.778  0.778  0.656
O  0.845  0.845  0.387
O  0.903  0.903  0.098
O  0.941  0.941  0.814

## Properties
SG = No. 8
VASP energy = -8.225 eV/atom
Fermi-level density of states = 0.0 states/eV/cell



[4]
# Ti6H2O13

Ti6H2O13 after structural relaxation (GGA-PBEsol, Alexandria).

Unit cell a=7.475 b=7.475 c=9.257 alpha=95.96 beta=95.96 gamma=28.97
Sites, in units of the cell vectors:
Ti  0.114  0.114  0.098
Ti  0.164  0.164  0.448
Ti  0.229  0.229  0.770
Ti  0.771  0.771  0.230
Ti  0.836  0.836  0.552
Ti  0.886  0.886  0.902
H  0.008  0.008  0.676
H  0.992  0.992  0.324
O  0.000  0.000  0.000
O  0.060  0.060  0.308
O  0.121  0.121  0.623
O  0.172  0.172  0.928
O  0.237  0.237  0.253
O  0.298  0.298  0.564
O  0.359  0.359  0.869
O  0.641  0.641  0.131
O  0.702  0.702  0.436
O  0.763  0.763  0.747
O  0.828  0.828  0.072
O  0.879  0.879  0.377
O  0.940  0.940  0.692

## Properties
SG = No. 12
VASP energy = -8.683 eV/atom
Fermi-level density of states = 0.0 states/eV/cell



[5]
# TiZnH2O

TiZnH2O after structural relaxation (GGA-PBEsol, Alexandria).

Unit cell a=3.841 b=3.841 c=3.582 alpha=90.00 beta=90.00 gamma=90.00
Sites, in units of the cell vectors:
Ti  0.000  0.000  0.000
Zn  0.500  0.500  0.000
H  0.000  0.500  0.500
H  0.500  0.000  0.500
O  0.500  0.500  0.500

## Properties
SG = No. 123
VASP energy = -3.640 eV/atom
Fermi-level density of states = 3.9 states/eV/cell



[6]
# TlHO3

TlHO3 after structural relaxation (GGA-PBEsol, Alexandria).

Unit cell a=3.543 b=3.543 c=3.543 alpha=90.00 beta=90.00 gamma=90.00
Sites, in units of the cell vectors:
Tl  0.000  0.000  0.000
H  0.500  0.500  0.500
O  0.000  0.500  0.500
O  0.500  0.000  0.500
O  0.500  0.500  0.000

## Properties
SG = No. 221
VASP energy = -3.835 eV/atom
Fermi-level density of states = 2.2 states/eV/cell



[7]
# TlHO2

TlHO2 after structural relaxation (GGA-PBEsol, Alexandria).

Unit cell a=3.470 b=3.470 c=13.818 alpha=90.00 beta=90.00 gamma=120.00
Sites, in units of the cell vectors:
Tl  0.000  0.000  0.000
Tl  0.333  0.667  0.667
Tl  0.667  0.333  0.333
H  0.000  0.000  0.500
H  0.333  0.667  0.167
H  0.667  0.333  0.833
O  0.000  0.000  0.412
O  0.000  0.000  0.588
O  0.333  0.667  0.079
O  0.333  0.667  0.254
O  0.667  0.333  0.746
O  0.667  0.333  0.921

## Properties
SG = No. 166
VASP energy = -4.931 eV/atom
Fermi-level density of states = 0.7 states/eV/cell



[8]
# TmH3O3

TmH3O3 after structural relaxation (GGA-PBEsol, Alexandria).

Unit cell a=6.149 b=3.416 c=6.152 alpha=90.00 beta=119.92 gamma=90.00
Sites, in units of the cell vectors:
Tm  0.167  0.250  0.333
Tm  0.833  0.750  0.667
H  0.221  0.250  0.870
H  0.350  0.750  0.721
H  0.371  0.750  0.149
H  0.629  0.250  0.851
H  0.650  0.250  0.279
H  0.779  0.750  0.130
O  0.105  0.250  0.689
O  0.190  0.750  0.085
O  0.415  0.750  0.605
O  0.585  0.250  0.395
O  0.810  0.250  0.915
O  0.895  0.750  0.311

## Properties
SG = No. 11
VASP energy = -6.371 eV/atom
Fermi-level density of states = 0.0 states/eV/cell
Relative energy among the computed polymorphs = 0.0000 eV/atom



[9]
# TmHO2

TmHO2 after structural relaxation (GGA-PBEsol, Alexandria).

Unit cell a=5.811 b=5.342 c=5.805 alpha=90.00 beta=108.24 gamma=90.00
Sites, in units of the cell vectors:
Tm  0.236  0.011  0.248
Tm  0.236  0.489  0.748
Tm  0.764  0.511  0.252
Tm  0.764  0.989  0.752
H  0.276  0.522  0.236
H  0.276  0.978  0.736
H  0.724  0.022  0.264
H  0.724  0.478  0.764
O  0.134  0.136  0.872
O  0.134  0.364  0.372
O  0.366  0.631  0.144
O  0.366  0.869  0.644
O  0.634  0.131  0.356
O  0.634  0.369  0.856
O  0.866  0.636  0.628
O  0.866  0.864  0.128

## Properties
SG = No. 14
VASP energy = -7.400 eV/atom
Fermi-level density of states = 0.0 states/eV/cell



[10]
# TmHO2

TmHO2 after structural relaxation (GGA-PBEsol, Alexandria).

Unit cell a=10.594 b=3.424 c=4.916 alpha=90.00 beta=90.00 gamma=90.00
Sites, in units of the cell vectors:
Tm  0.143  0.250  0.102
Tm  0.357  0.750  0.602
Tm  0.643  0.250  0.398
Tm  0.857  0.750  0.898
H  0.104  0.750  0.632
H  0.396  0.250  0.132
H  0.604  0.750  0.868
H  0.896  0.250  0.368
O  0.069  0.750  0.826
O  0.187  0.750  0.356
O  0.313  0.250  0.856
O  0.431  0.250  0.326
O  0.569  0.750  0.674
O  0.687  0.750  0.144
O  0.813  0.250  0.644
O  0.931  0.250  0.174

## Properties
SG = No. 62
VASP energy = -7.410 eV/atom
Fermi-level density of states = 0.0 states/eV/cell



[11]
# TmH3O3

TmH3O3 after structural relaxation (GGA-PBEsol, Alexandria).

Unit cell a=4.844 b=10.228 c=5.729 alpha=90.00 beta=98.46 gamma=90.00
Sites, in units of the cell vectors:
Tm  0.075  0.157  0.110
Tm  0.075  0.343  0.610
Tm  0.925  0.657  0.390
Tm  0.925  0.843  0.890
H  0.184  0.583  0.838
H  0.184  0.917  0.338
H  0.353  0.702  0.112
H  0.353  0.798  0.612
H  0.480  0.138  0.816
H  0.480  0.362  0.316
H  0.520  0.638  0.684
H  0.520  0.862  0.184
H  0.647  0.202  0.388
H  0.647  0.298  0.888
H  0.816  0.083  0.662
H  0.816  0.417  0.162
O  0.153  0.673  0.082
O  0.153  0.827  0.582
O  0.206  0.546  0.677
O  0.206  0.954  0.177
O  0.347  0.209  0.846
O  0.347  0.291  0.346
O  0.653  0.709  0.654
O  0.653  0.791  0.154
O  0.794  0.046  0.823
O  0.794  0.454  0.323
O  0.847  0.173  0.418
O  0.847  0.327  0.918

## Properties
SG = No. 14
VASP energy = -6.349 eV/atom
Fermi-level density of states = 0.0 states/eV/cell
Relative energy among the computed polymorphs = 0.0220 eV/atom



[12]
# V3H2O8

V3H2O8 after structural relaxation (GGA-PBEsol, Alexandria).

Unit cell a=3.602 b=9.301 c=16.404 alpha=90.00 beta=90.34 gamma=90.00
Sites, in units of the cell vectors:
V  0.239  0.075  0.152
V  0.239  0.425  0.652
V  0.253  0.124  0.953
V  0.253  0.376  0.453
V  0.258  0.092  0.551
V  0.258  0.408  0.051
V  0.742  0.592  0.949
V  0.742  0.908  0.449
V  0.747  0.624  0.547
V  0.747  0.876  0.047
V  0.761  0.575  0.348
V  0.761  0.925  0.848
H  0.057  0.665  0.741
H  0.057  0.835  0.241
H  0.427  0.584  0.775
H  0.427  0.916  0.275
H  0.573  0.084  0.725
H  0.573  0.416  0.225
H  0.943  0.165  0.759
H  0.943  0.335  0.259
O  0.216  0.197  0.220
O  0.216  0.303  0.720
O  0.247  0.572  0.541
O  0.247  0.581  0.981
O  0.247  0.919  0.481
O  0.247  0.928  0.041
O  0.249  0.225  0.407
O  0.249  0.275  0.907
O  0.251  0.209  0.061
O  0.251  0.291  0.561
O  0.255  0.528  0.367
O  0.255  0.972  0.867
O  0.261  0.597  0.726
O  0.261  0.903  0.226
O  0.278  0.046  0.645
O  0.278  0.454  0.145
O  0.722  0.546  0.855
O  0.722  0.954  0.355
O  0.739  0.097  0.774
O  0.739  0.403  0.274
O  0.745  0.028  0.133
O  0.745  0.472  0.633
O  0.749  0.709  0.439
O  0.749  0.791  0.939
O  0.751  0.725  0.093
O  0.751  0.775  0.593
O  0.753  0.072  0.959
O  0.753  0.081  0.519
O  0.753  0.419  0.019
O  0.753  0.428  0.459
O  0.784  0.697  0.280
O  0.784  0.803  0.780

## Properties
SG = No. 14
VASP energy = -7.979 eV/atom
Fermi-level density of states = 8.0 states/eV/cell